VASP calculation (PBE) on a relaxed Be2GaNiPt crystal.

Geometry as CIF:
```
data_Be2GaNiPt
_symmetry_space_group_name_H-M 'P 4/m m m'
_symmetry_Int_Tables_number 123
_symmetry_space_group_name_Hall '-P 4 2'
_cell_length_a 4.102
_cell_length_b 4.102
_cell_length_c 4.625
_cell_angle_alpha 90.00
_cell_angle_beta 90.00
_cell_angle_gamma 90.00
loop_
_atom_site_label
_atom_site_type_symbol
_atom_site_fract_x
_atom_site_fract_y
_atom_site_fract_z
Be1 Be 0.000 0.500 0.000
Ga1 Ga 0.000 0.000 0.000
Ni1 Ni 0.500 0.500 0.500
Pt1 Pt 0.000 0.000 0.500
```

Output
Uncorrected energy   -3.58 eV/atom
Mass density   7.29 Mg/m³
DOS(E_F)   3.23 states/eV per cell
Formation enthalpy at 0 K   84.8 kJ per mole of atoms